A plane-wave DFT calculation with GGA-PBE was carried out for a geometry-optimized NbVReNi structure.

Unit cell a=6.162 b=6.162 c=6.162 alpha=90.00 beta=90.00 gamma=90.00
Space group F-43m (No. 216)
Symmetry-distinct sites (fractional):
Nb1 0.000 0.000 0.000 (multiplicity 4)
V1 0.000 0.000 0.500 (multiplicity 4)
Re1 0.250 0.250 0.750 (multiplicity 4)
Ni1 0.250 0.250 0.250 (multiplicity 4)

Summary:
Calculated volume: 14.6 Å³ per atom
E: -9.4452 eV per atom

---

A plane-wave DFT calculation with GGA-PBE was carried out for a geometry-optimized NbNiRh4 structure.

Unit cell a=5.176 b=7.301 c=5.339 alpha=90.00 beta=117.90 gamma=90.00
Space group C2/m (No. 12)
Symmetry-distinct sites (fractional):
Nb1 0.000 0.000 0.000 (multiplicity 2)
Ni1 0.000 0.500 0.500 (multiplicity 2)
Rh1 0.248 0.311 0.258 (multiplicity 8)

Summary:
Calculated volume: 14.9 Å³ per atom
E: -7.6400 eV per atom

---

A plane-wave DFT calculation with GGA-PBE was carried out for a geometry-optimized Nb5NiRh4 structure.

Unit cell a=3.382 b=3.382 c=14.050 alpha=90.00 beta=90.00 gamma=90.00
Space group P4/mmm (No. 123)
Symmetry-distinct sites (fractional):
Nb1 0.000 0.000 0.000 (multiplicity 1)
Nb2 0.000 0.000 0.203 (multiplicity 2)
Nb3 0.000 0.000 0.406 (multiplicity 2)
Ni1 0.500 0.500 0.500 (multiplicity 1)
Rh1 0.500 0.500 0.101 (multiplicity 2)
Rh2 0.500 0.500 0.304 (multiplicity 2)

Summary:
Calculated volume: 16.1 Å³ per atom
E: -8.8038 eV per atom

---

Number 1: energy of formation from the pure elements -8.8 kJ/mol of atoms. Number 2: energy of formation from the pure elements -9.4 kJ/mol of atoms. Number 3: energy of formation from the pure elements -24.1 kJ/mol of atoms.